Zn2IrRh | PBE | relaxed

a = 4.862 Å, b = 2.800 Å, c = 8.500 Å
α = 90.00°, β = 101.13°, γ = 90.00°
Space group Cm (No. 8)
One atom of each set of equivalent atoms:
Zn (0.000, 0.000, 0.000) [2 per cell]
Zn (0.168, 0.000, 0.504) [2 per cell]
Ir (0.417, 0.000, 0.252) [2 per cell]
Rh (0.084, 0.500, 0.752) [2 per cell]

Properties
The calculation puts the total magnetic moment at 0.000 μB/f.u. The value obtained for the total energy is -39.4 eV/cell. The value obtained for the density of states at the Fermi level is 0.546 states/eV/atom.

***

BaU2NiN4 | PBE | relaxed

a = 3.559 Å, b = 11.723 Å, c = 11.480 Å
α = 90.00°, β = 90.00°, γ = 90.00°
Space group Cmcm (No. 63)
One atom of each set of equivalent atoms:
Ba (0.000, 0.099, 0.250) [4 per cell]
U (0.000, 0.369, 0.058) [8 per cell]
Ni (0.000, 0.170, 0.750) [4 per cell]
N (0.000, 0.000, 0.000) [4 per cell]
N (0.000, 0.253, 0.597) [8 per cell]
N (0.000, 0.414, 0.250) [4 per cell]

Properties
The calculation puts the total magnetic moment at 2.031 μB/f.u. The calculation puts the formation energy from raw total energies at -1075 meV/atom. The value obtained for the density of states at the Fermi level is 0.652 states/eV/atom.

***

Please write out number 1 again, unchanged.
Zn2IrRh | PBE | relaxed

a = 4.862 Å, b = 2.800 Å, c = 8.500 Å
α = 90.00°, β = 101.13°, γ = 90.00°
Space group Cm (No. 8)
One atom of each set of equivalent atoms:
Zn (0.000, 0.000, 0.000) [2 per cell]
Zn (0.168, 0.000, 0.504) [2 per cell]
Ir (0.417, 0.000, 0.252) [2 per cell]
Rh (0.084, 0.500, 0.752) [2 per cell]

Properties
The calculation puts the total magnetic moment at 0.000 μB/f.u. The value obtained for the total energy is -39.4 eV/cell. The value obtained for the density of states at the Fermi level is 0.546 states/eV/atom.